Pm3Ga2Ni6Ge | GGA-PBE | optimized geometry

crystal system = trigonal
E_tot = -5.336 eV/atom
energy relative to the elements = -36 kJ/mol of atoms
D(E_F) = 7.9 states/eV/f.u.

abc: 5.3467 5.3467 8.5038
angles: 90.00 90.00 120.00
Space group P-3m1 (No. 164)
Symmetry-distinct sites (fractional):
Pm: 0.0000 0.0000 0.0000 x1
Pm: 0.3333 0.6667 0.6231 x2
Ga: 0.3333 0.6667 0.0499 x2
Ni: 0.1741 0.3482 0.2828 x6
Ge: 0.0000 0.0000 0.5000 x1